Arrangement i

# BaY2Ag

A relaxed BaY2Ag crystal (PBE, Alexandria via LeMat-Bulk).

Properties
Its space group is No. 166. The value obtained for the total magnetization is 0.00 μB per cell.

Unit cell a=11.051 b=11.051 c=11.051 alpha=20.20 beta=20.20 gamma=20.20
Fractional positions:
Y1 0.521 0.521 0.521
Ag1 0.250 0.250 0.250
Ba1 0.750 0.750 0.750
Y2 0.979 0.979 0.979

Arrangement ii

# BaY2Ag

A relaxed BaY2Ag crystal (PBE, Alexandria via LeMat-Bulk).

Properties
Its space group is No. 216. The value obtained for the total magnetization is 0.00 μB per cell.

Unit cell a=5.707 b=5.707 c=5.707 alpha=60.00 beta=60.00 gamma=60.00
Fractional positions:
Y1 0.000 0.000 0.000
Ba1 0.750 0.750 0.750
Y2 0.250 0.250 0.250
Ag1 0.500 0.500 0.500

Arrangement iii

# BaY2Ag

A relaxed BaY2Ag crystal (PBE, Alexandria via LeMat-Bulk).

Properties
Its space group is No. 122. The value obtained for the total magnetization is 0.00 μB per cell.

Unit cell a=9.054 b=9.054 c=7.276 alpha=51.52 beta=51.52 gamma=90.00
Fractional positions:
Ag1 0.250 0.750 0.500
Ag2 0.500 0.500 0.000
Y1 0.375 0.443 0.750
Y2 0.875 0.807 0.750
Y3 0.557 0.125 0.250
Ba1 0.000 0.000 0.000
Ba2 0.750 0.250 0.500
Y4 0.193 0.625 0.250

Quick look at relative energies in meV/atom: arrangement i 0; arrangement ii 153; arrangement iii 62.

Arrangement i

# BaY2Ag

A relaxed BaY2Ag crystal (PBE, Alexandria via LeMat-Bulk).

Properties
Its space group is No. 119. The value obtained for the total magnetization is 0.00 μB per cell.

Unit cell a=6.285 b=6.285 c=6.285 alpha=133.70 beta=133.70 gamma=67.56
Fractional positions:
Y1 0.000 0.000 0.000
Ba1 0.750 0.250 0.500
Ag1 0.500 0.500 0.000
Y2 0.250 0.750 0.500

Arrangement ii

# BaY2Ag

A relaxed BaY2Ag crystal (PBE, Alexandria via LeMat-Bulk).

Properties
Its space group is No. 99. The value obtained for the total magnetization is 0.83 μB per cell.

Unit cell a=3.844 b=3.848 c=9.953 alpha=67.25 beta=90.00 gamma=90.00
Last column: magnetic moment on the atom in μB.
Fractional positions:
Y1 0.500 0.209 0.291  0.16
Y2 0.000 0.952 0.048  0.22
Ag1 0.000 0.548 0.452  0.00
Ba1 0.500 0.791 0.709  0.03

Quick look at relative energies in meV/atom: arrangement i 289; arrangement ii 0.